Crystalline La4TlSiN at its relaxed geometry. Source: the Alexandria database, functional PBE. Values from VASP.

```
&SYSTEM
  ibrav = 0, nat = 14, ntyp = 4
/
ATOMIC_SPECIES
N 14.01 N.upf
La 138.91 La.upf
Tl 204.38 Tl.upf
Si 28.09 Si.upf
CELL_PARAMETERS angstrom
6.9331 0.0000 0.0000
0.0000 6.9660 0.0000
-3.4665 0.0000 8.4412
ATOMIC_POSITIONS crystal
N 0.7269 0.2500 0.4537
La 0.0000 0.0000 0.5000
La 0.5842 0.2500 0.1685
La 0.5000 0.5000 0.5000
La 0.5000 0.0000 0.5000
Tl 0.6093 0.7500 0.2186
La 0.4158 0.7500 0.8315
Si 0.1163 0.2500 0.2325
N 0.2731 0.7500 0.5463
Si 0.8837 0.7500 0.7675
La 0.0634 0.7500 0.1268
La 0.9366 0.2500 0.8732
Tl 0.3907 0.2500 0.7814
La 0.0000 0.5000 0.5000
```

SG = Cmcm, No. 63
M_tot = 0.00 Bohr magnetons per cell
energy relative to the elements, uncorrected = -4.89 eV/f.u.